# 1
Density functional theory data (GGA-PBE) for a relaxed AlTlCr2 crystal.

a = 3.0912 Å, b = 3.0817 Å, c = 7.8467 Å
α = 66.92°, β = 90.00°, γ = 90.00°
Site moments in Bohr magnetons follow the coordinates.
Sites, in units of the cell vectors:
Tl (0.5000, 0.2500, 0.2500)  -0.06
Cr (0.0000, 0.4675, 0.5317)  3.11
Cr (0.0000, 0.0325, 0.9683)  3.11
Al (0.5000, 0.7500, 0.7500)  -0.07

Calculated values
Its calculated volume is 17.192 Å³/atom. The uncorrected energy is -23.69 eV for the cell shown. For the density of states at the Fermi level, the calculation gives 2.20 states/eV per cell.



# 2
Density functional theory data (GGA-PBE) for a relaxed AlTlCr3 crystal.

a = 5.1650 Å, b = 5.1650 Å, c = 5.1650 Å
α = 90.00°, β = 90.00°, γ = 90.00°
Site moments in Bohr magnetons follow the coordinates.
Sites, in units of the cell vectors:
Cr (0.0000, 0.5000, 0.0000)  3.90
Cr (0.0000, 0.0000, 0.5000)  4.00
Cr (0.5000, 0.0000, 0.0000)  3.69
Al (0.5000, 0.5000, 0.5000)  0.01
Tl (0.0000, 0.0000, 0.0000)  -0.05

Calculated values
As for the offset from the most stable computed form: 2.31 eV per formula unit. Its calculated volume is 27.557 Å³/atom. The uncorrected energy is -26.69 eV for the cell shown. For the density of states at the Fermi level, the calculation gives 5.23 states/eV per cell.



# 3
Density functional theory data (GGA-PBE) for a relaxed AlTl3Cr crystal.

a = 5.3041 Å, b = 5.3041 Å, c = 5.3041 Å
α = 90.00°, β = 90.00°, γ = 90.00°
Site moments in Bohr magnetons follow the coordinates.
Sites, in units of the cell vectors:
Tl (0.0000, 0.0000, 0.5000)  0.02
Tl (0.5000, 0.0000, 0.0000)  -0.06
Tl (0.0000, 0.5000, 0.0000)  -0.02
Cr (0.0000, 0.0000, 0.0000)  2.95
Al (0.5000, 0.5000, 0.5000)  -0.04

Calculated values
As for the offset from the most stable computed form: 0.00 eV per formula unit. Its calculated volume is 29.844 Å³/atom. The uncorrected energy is -17.17 eV for the cell shown. For the density of states at the Fermi level, the calculation gives 5.63 states/eV per cell.



# 4
Density functional theory data (GGA-PBE) for a relaxed AlTlCr2 crystal.

a = 5.4807 Å, b = 5.4807 Å, c = 5.4807 Å
α = 146.26°, β = 132.07°, γ = 59.89°
Site moments in Bohr magnetons follow the coordinates.
Sites, in units of the cell vectors:
Cr (0.0019, 0.0019, 0.0000)  2.52
Cr (0.7602, 0.2602, 0.5000)  2.69
Al (0.2383, 0.7383, 0.5000)  -0.07
Tl (0.4997, 0.4997, 0.0000)  -0.06

Calculated values
Its calculated volume is 16.814 Å³/atom. The uncorrected energy is -23.07 eV for the cell shown. For the density of states at the Fermi level, the calculation gives 4.57 states/eV per cell.